(1)
# Cs4PmI5 | Alexandria | PBE | optimized geometry
data_Cs4PmI5
_cell_length_a 9.219
_cell_length_b 9.219
_cell_length_c 9.219
_cell_angle_alpha 100.53
_cell_angle_beta 100.53
_cell_angle_gamma 129.38
_symmetry_space_group_name_H-M 'P 1'
_symmetry_Int_Tables_number 1
loop_
_symmetry_equiv_pos_as_xyz
'x,y,z'
loop_
_atom_site_label
_atom_site_type_symbol
_atom_site_fract_x
_atom_site_fract_y
_atom_site_fract_z
Cs1 Cs 0.087 0.290 0.378
Cs2 Cs 0.290 0.913 0.203
Cs3 Cs 0.710 0.087 0.797
Cs4 Cs 0.913 0.710 0.622
Pm1 Pm 0.462 0.462 0.000
I1 I 0.227 0.577 0.820
I2 I 0.407 0.227 0.649
I3 I 0.577 0.758 0.351
I4 I 0.758 0.407 0.180
I5 I 0.869 0.869 0.000
# Total magnetic moment: 0.1941 μB/atom
# Symmetry: I4, No. 79
# DOS(E_F): 6.39 states/eV per cell
# Energy relative to the elements, uncorrected: -1.233 eV per atom


(2)
# CsPm4I12 | Alexandria | PBE | optimized geometry
data_CsPm4I12
_cell_length_a 10.232
_cell_length_b 10.232
_cell_length_c 10.232
_cell_angle_alpha 109.47
_cell_angle_beta 109.47
_cell_angle_gamma 109.47
_symmetry_space_group_name_H-M 'P 1'
_symmetry_Int_Tables_number 1
loop_
_symmetry_equiv_pos_as_xyz
'x,y,z'
loop_
_atom_site_label
_atom_site_type_symbol
_atom_site_fract_x
_atom_site_fract_y
_atom_site_fract_z
Cs1 Cs 0.000 0.000 0.000
Pm1 Pm 0.000 0.000 0.500
Pm2 Pm 0.000 0.500 0.000
Pm3 Pm 0.500 0.000 0.000
Pm4 Pm 0.500 0.500 0.500
I1 I 0.119 0.302 0.817
I2 I 0.183 0.485 0.302
I3 I 0.183 0.881 0.698
I4 I 0.302 0.183 0.485
I5 I 0.302 0.817 0.119
I6 I 0.485 0.302 0.183
I7 I 0.515 0.698 0.817
I8 I 0.698 0.183 0.881
I9 I 0.698 0.817 0.515
I10 I 0.817 0.119 0.302
I11 I 0.817 0.515 0.698
I12 I 0.881 0.698 0.183
# Total magnetic moment: 0.0000 μB/atom
# Symmetry: Im-3, No. 204
# DOS(E_F): 6.71 states/eV per cell
# Energy relative to the elements, uncorrected: -1.353 eV per atom


(3)
# CsPmI3 | Alexandria | PBE | optimized geometry
data_CsPmI3
_cell_length_a 7.116
_cell_length_b 8.597
_cell_length_c 8.194
_cell_angle_alpha 90.00
_cell_angle_beta 90.00
_cell_angle_gamma 90.00
_symmetry_space_group_name_H-M 'P 1'
_symmetry_Int_Tables_number 1
loop_
_symmetry_equiv_pos_as_xyz
'x,y,z'
loop_
_atom_site_label
_atom_site_type_symbol
_atom_site_fract_x
_atom_site_fract_y
_atom_site_fract_z
Cs1 Cs 0.250 0.000 0.246
Cs2 Cs 0.750 0.000 0.754
Pm1 Pm 0.000 0.500 0.000
Pm2 Pm 0.500 0.500 0.000
I1 I 0.250 0.236 0.831
I2 I 0.250 0.500 0.319
I3 I 0.250 0.764 0.831
I4 I 0.750 0.236 0.169
I5 I 0.750 0.500 0.681
I6 I 0.750 0.764 0.169
# Excess energy over the best structure of this formula in the dataset: 0.038 eV/atom
# Total magnetic moment: 0.0203 μB/atom
# Symmetry: Pmma, No. 51
# DOS(E_F): 5.16 states/eV per cell
# Energy relative to the elements, uncorrected: -1.354 eV per atom


(4)
# Cs6Pm3I14 | Alexandria | PBE | optimized geometry
data_Cs6Pm3I14
_cell_length_a 14.052
_cell_length_b 14.052
_cell_length_c 7.652
_cell_angle_alpha 90.00
_cell_angle_beta 90.00
_cell_angle_gamma 120.00
_symmetry_space_group_name_H-M 'P 1'
_symmetry_Int_Tables_number 1
loop_
_symmetry_equiv_pos_as_xyz
'x,y,z'
loop_
_atom_site_label
_atom_site_type_symbol
_atom_site_fract_x
_atom_site_fract_y
_atom_site_fract_z
Cs1 Cs 0.028 0.568 0.000
Cs2 Cs 0.308 0.102 0.487
Cs3 Cs 0.432 0.460 0.000
Cs4 Cs 0.540 0.972 0.000
Cs5 Cs 0.794 0.692 0.487
Cs6 Cs 0.898 0.206 0.487
Pm1 Pm 0.000 0.000 0.906
Pm2 Pm 0.333 0.667 0.417
Pm3 Pm 0.667 0.333 0.758
I1 I 0.000 0.000 0.299
I2 I 0.079 0.851 0.771
I3 I 0.149 0.228 0.771
I4 I 0.182 0.440 0.279
I5 I 0.258 0.818 0.279
I6 I 0.333 0.667 0.810
I7 I 0.453 0.194 0.982
I8 I 0.529 0.409 0.532
I9 I 0.560 0.742 0.279
I10 I 0.591 0.120 0.532
I11 I 0.741 0.547 0.982
I12 I 0.772 0.921 0.771
I13 I 0.806 0.259 0.982
I14 I 0.880 0.471 0.532
# Total magnetic moment: 0.0522 μB/atom
# Symmetry: P3, No. 143
# DOS(E_F): 10.40 states/eV per cell
# Energy relative to the elements, uncorrected: -1.421 eV per atom


What did the third record say?
# CsPmI3 | Alexandria | PBE | optimized geometry
data_CsPmI3
_cell_length_a 7.116
_cell_length_b 8.597
_cell_length_c 8.194
_cell_angle_alpha 90.00
_cell_angle_beta 90.00
_cell_angle_gamma 90.00
_symmetry_space_group_name_H-M 'P 1'
_symmetry_Int_Tables_number 1
loop_
_symmetry_equiv_pos_as_xyz
'x,y,z'
loop_
_atom_site_label
_atom_site_type_symbol
_atom_site_fract_x
_atom_site_fract_y
_atom_site_fract_z
Cs1 Cs 0.250 0.000 0.246
Cs2 Cs 0.750 0.000 0.754
Pm1 Pm 0.000 0.500 0.000
Pm2 Pm 0.500 0.500 0.000
I1 I 0.250 0.236 0.831
I2 I 0.250 0.500 0.319
I3 I 0.250 0.764 0.831
I4 I 0.750 0.236 0.169
I5 I 0.750 0.500 0.681
I6 I 0.750 0.764 0.169
# Excess energy over the best structure of this formula in the dataset: 0.038 eV/atom
# Total magnetic moment: 0.0203 μB/atom
# Symmetry: Pmma, No. 51
# DOS(E_F): 5.16 states/eV per cell
# Energy relative to the elements, uncorrected: -1.354 eV per atom


Repeat the first record exactly.
# Cs4PmI5 | Alexandria | PBE | optimized geometry
data_Cs4PmI5
_cell_length_a 9.219
_cell_length_b 9.219
_cell_length_c 9.219
_cell_angle_alpha 100.53
_cell_angle_beta 100.53
_cell_angle_gamma 129.38
_symmetry_space_group_name_H-M 'P 1'
_symmetry_Int_Tables_number 1
loop_
_symmetry_equiv_pos_as_xyz
'x,y,z'
loop_
_atom_site_label
_atom_site_type_symbol
_atom_site_fract_x
_atom_site_fract_y
_atom_site_fract_z
Cs1 Cs 0.087 0.290 0.378
Cs2 Cs 0.290 0.913 0.203
Cs3 Cs 0.710 0.087 0.797
Cs4 Cs 0.913 0.710 0.622
Pm1 Pm 0.462 0.462 0.000
I1 I 0.227 0.577 0.820
I2 I 0.407 0.227 0.649
I3 I 0.577 0.758 0.351
I4 I 0.758 0.407 0.180
I5 I 0.869 0.869 0.000
# Total magnetic moment: 0.1941 μB/atom
# Symmetry: I4, No. 79
# DOS(E_F): 6.39 states/eV per cell
# Energy relative to the elements, uncorrected: -1.233 eV per atom


Q: Which value of DOS(E_F) does entry 1 give?
A: 6.39 states/eV per cell


Q: Which formula does entry 1 have?
A: Cs4PmI5